Record 1
The following is a PBE-GGA calculation of a relaxed Zr6Ir7 crystal, from Alexandria.

Output
- Space group: R-3m, No. 166
- Density of states at the Fermi level: 11.5 states/eV/cell
- Formation energy from the elements: -0.70 eV per atom
- VASP energy: -122.45 eV/f.u.

Geometry as POSCAR:
```
Zr6Ir7
1.0
9.887 0.000 0.000
8.434 5.160 0.000
8.434 2.375 4.581
Ir Zr
7 6
direct
0.590 0.089 0.590
0.410 0.410 0.911
0.089 0.590 0.590
0.911 0.410 0.410
0.590 0.590 0.089
0.500 0.500 0.500
0.410 0.911 0.410
0.336 0.336 0.336
0.664 0.664 0.664
0.158 0.158 0.158
0.948 0.948 0.948
0.052 0.052 0.052
0.842 0.842 0.842
```

=====

Record 2
The following is a PBE-GGA calculation of a relaxed KSnF5 crystal, from Alexandria.

Output
- Formation energy from raw total energies: -2.659 eV/atom
- Space group: C2/c, No. 15
- Density of states at the Fermi level: 0.0 states/eV/cell
- VASP energy: -33.07 eV/f.u.

Geometry as POSCAR:
```
KSnF5
1.0
5.884 0.012 -2.305
-2.561 5.662 -1.151
-0.204 0.362 8.382
Sn K F
2 2 10
direct
0.500 0.000 0.500
0.000 0.000 0.000
0.270 0.520 0.750
0.730 0.480 0.250
0.583 0.774 0.380
0.209 0.743 0.484
0.417 0.226 0.620
0.894 0.203 0.120
0.791 0.257 0.516
0.287 0.037 0.250
0.713 0.963 0.750
0.106 0.797 0.880
0.759 0.726 0.016
0.241 0.274 0.984
```

=====

Record 3
The following is a PBE-GGA calculation of a relaxed TaSiCl2 crystal, from Alexandria.

Output
- Formation energy from raw total energies: -0.385 eV/atom
- Space group: Cm, No. 8
- Density of states at the Fermi level: 2.5 states/eV/cell
- VASP energy: -22.51 eV/f.u.
- ΔE to the lowest computed polymorph: 0.097 eV/atom

Geometry as POSCAR:
```
TaSiCl2
1.0
-3.216 -3.657 -1.948
-1.090 -5.114 -0.416
-4.989 -1.932 5.087
Cl Ta Si
2 1 1
direct
0.906 0.906 0.102
0.763 0.763 0.648
0.273 0.273 0.375
0.558 0.558 0.375
```

=====

Record 4
The following is a PBE-GGA calculation of a relaxed FeMo2SeN crystal, from Alexandria.

Output
- Formation energy from raw total energies: 0.134 eV/atom
- Space group: P4/mmm, No. 123
- Density of states at the Fermi level: 4.2 states/eV/cell
- VASP energy: -41.26 eV/f.u.

Geometry as POSCAR:
```
FeMo2SeN
1.0
-1.854 3.148 -2.159
-3.224 -0.842 1.542
0.827 2.674 3.189
Mo N Se Fe
2 1 1 1
direct
0.000 0.000 0.500
0.500 0.000 0.000
0.000 0.000 0.000
0.500 0.500 0.500
0.000 0.500 0.000
```

=====

Record 5
The following is a PBE-GGA calculation of a relaxed KYSn2Cl8 crystal, from Alexandria.

Output
- Formation energy from raw total energies: -1.588 eV/atom
- Space group: P-1, No. 2
- Density of states at the Fermi level: 0.0 states/eV/cell
- VASP energy: -49.40 eV/f.u.

Geometry as POSCAR:
```
KYSn2Cl8
1.0
-4.748 -3.752 -3.245
4.327 -2.125 -4.324
2.017 -6.672 5.531
Sn Cl K Y
2 8 1 1
direct
0.515 0.506 0.750
0.485 0.494 0.250
0.688 0.761 0.964
0.137 0.749 0.217
0.819 0.212 0.214
0.181 0.788 0.786
0.863 0.251 0.783
0.359 0.282 0.467
0.312 0.239 0.036
0.641 0.718 0.533
0.000 0.000 0.500
0.000 0.000 0.000
```

=====

Record 6
The following is a PBE-GGA calculation of a relaxed PdRuRhW2 crystal, from Alexandria.

Output
- Space group: P4/mmm, No. 123
- Density of states at the Fermi level: 5.9 states/eV/cell
- Formation energy from the elements: 1.92 eV per atom
- VASP energy: -38.11 eV/f.u.
- ΔE to the lowest computed polymorph: 0.000 eV/atom

Geometry as POSCAR:
```
PdRuRhW2
1.0
4.646 0.000 0.000
0.000 4.641 0.000
0.000 0.000 4.646
W Rh Ru Pd
2 1 1 1
direct
0.000 0.000 0.500
0.500 0.000 0.000
0.000 0.000 0.000
0.000 0.500 0.000
0.500 0.500 0.500
```

=====

Record 7
The following is a PBE-GGA calculation of a relaxed GeSb2Au crystal, from Alexandria.

Output
- Formation energy from raw total energies: 0.112 eV/atom
- Space group: R3m, No. 160
- Density of states at the Fermi level: 1.9 states/eV/cell
- VASP energy: -15.69 eV/f.u.
- ΔE to the lowest computed polymorph: 0.081 eV/atom

Geometry as POSCAR:
```
GeSb2Au
1.0
4.194 0.000 0.000
2.097 3.632 0.000
2.097 1.211 6.566
Au Ge Sb
1 1 2
direct
0.497 0.497 0.508
0.664 0.664 0.008
0.252 0.252 0.244
0.087 0.087 0.740
```

=====

Record 8
The following is a PBE-GGA calculation of a relaxed LaSc2W crystal, from Alexandria.

Output
- Space group: Imm2, No. 44
- Density of states at the Fermi level: 4.6 states/eV/cell
- Formation energy from the elements: 0.41 eV per atom
- VASP energy: -28.89 eV/f.u.

Geometry as POSCAR:
```
LaSc2W
1.0
-4.173 4.122 0.996
-4.375 0.342 -4.017
2.738 -3.545 3.915
Sc La W
2 1 1
direct
0.713 0.213 0.500
0.000 0.000 0.000
0.287 0.787 0.500
0.501 0.501 0.000
```

=====

Record 9
The following is a PBE-GGA calculation of a relaxed TiCuTcGe crystal, from Alexandria.

Output
- Space group: F-43m, No. 216
- Density of states at the Fermi level: 2.9 states/eV/cell
- Formation energy from the elements: -0.16 eV per atom
- VASP energy: -27.62 eV/f.u.

Geometry as POSCAR:
```
TiCuTcGe
1.0
4.321 0.000 0.000
2.160 3.742 0.000
2.160 1.247 3.528
Ge Tc Cu Ti
1 1 1 1
direct
0.750 0.750 0.750
0.500 0.500 0.500
0.000 0.000 0.000
0.250 0.250 0.250
```

=====

Record 10
The following is a PBE-GGA calculation of a relaxed NiHgC3 crystal, from Alexandria.

Output
- Space group: Pm-3m, No. 221
- Density of states at the Fermi level: 2.9 states/eV/cell
- Formation energy from the elements: 3.73 eV per atom
- VASP energy: -15.09 eV/f.u.
- ΔE to the lowest computed polymorph: 1.327 eV/atom

Geometry as POSCAR:
```
NiHgC3
1.0
-3.386 2.202 1.293
-0.715 -2.879 3.031
2.452 2.202 2.669
C Hg Ni
3 1 1
direct
0.500 0.000 0.000
0.000 0.000 0.500
0.000 0.500 0.000
0.000 0.000 0.000
0.500 0.500 0.500
```

=====

Record 11
The following is a PBE-GGA calculation of a relaxed Cr2Au crystal, from Alexandria.

Output
- Space group: P4/mmm, No. 123
- Density of states at the Fermi level: 4.1 states/eV/cell
- Formation energy from the elements: 0.88 eV per atom
- VASP energy: -19.87 eV/f.u.

Geometry as POSCAR:
```
Cr2Au
1.0
-3.156 -2.869 1.069
2.883 -2.270 2.421
-0.756 1.793 2.581
Au Cr
1 2
direct
0.000 0.000 0.000
0.000 0.500 0.500
0.500 0.000 0.500
```

=====

Record 12
The following is a PBE-GGA calculation of a relaxed RbNd2HgS4 crystal, from Alexandria.

Output
- Formation energy from raw total energies: -1.390 eV/atom
- Space group: Cmcm, No. 63
- Density of states at the Fermi level: 5.6 states/eV/cell
- VASP energy: -38.43 eV/f.u.

Geometry as POSCAR:
```
RbNd2HgS4
1.0
-2.949 3.039 0.211
-3.315 -6.313 1.995
3.621 2.537 14.045
Rb Hg S Nd
2 2 8 4
direct
0.880 0.760 0.250
0.120 0.240 0.750
0.840 0.680 0.750
0.160 0.320 0.250
0.557 0.114 0.250
0.738 0.476 0.898
0.262 0.524 0.102
0.262 0.524 0.398
0.443 0.886 0.750
0.738 0.476 0.602
0.000 0.000 0.000
0.000 0.000 0.500
0.374 0.748 0.556
0.626 0.252 0.056
0.374 0.748 0.944
0.626 0.252 0.444
```

=====

Record 13
The following is a PBE-GGA calculation of a relaxed CaP2Br crystal, from Alexandria.

Output
- Formation energy from raw total energies: -0.627 eV/atom
- Space group: Imm2, No. 44
- Density of states at the Fermi level: 0.8 states/eV/cell
- VASP energy: -17.00 eV/f.u.
- ΔE to the lowest computed polymorph: 0.206 eV/atom

Geometry as POSCAR:
```
CaP2Br
1.0
-0.676 3.956 3.885
0.000 -2.730 4.873
3.172 1.258 -4.422
P Ca Br
2 1 1
direct
0.205 0.705 0.500
0.053 0.053 0.000
0.749 0.249 0.500
0.493 0.493 0.000
```